Crystalline Dy4CS2Cl at its relaxed geometry, computed with PBE-GGA.

It has space group P2/m (No. 10), with a = 6.595 Å, b = 3.786 Å, c = 6.841 Å, α = 90.00°, β = 108.49° and γ = 90.00°. Symmetry generates all atoms from Dy at (0.220, 0.000, 0.210), Dy at (0.243, 0.500, 0.786), C at (0.000, 0.500, 0.000), S at (0.500, 0.000, 0.000), S at (0.500, 0.500, 0.500) and Cl at (0.000, 0.000, 0.500).

The density is 7.81 g/cm3. The calculation puts the raw formation energy at -11.87 eV/f.u. For the total moment, the calculation gives 0.00 μB/f.u.